## PrPa2Pb9 (PBE)

Data for a geometry-optimized PrPa2Pb9 structure.

Values from the calculation:
Formation energy from the elements: -0.126 eV/atom

abc: 4.849 4.849 14.619
angles: 90.00 90.00 90.00
Element x y z (fractional)
Pa1 0.000 0.000 0.661
Pb1 0.500 0.000 0.173
Pb2 0.000 0.500 0.500
Pa2 0.000 0.000 0.339
Pb3 0.500 0.500 0.336
Pb4 0.500 0.500 0.000
Pb5 0.500 0.500 0.664
Pb6 0.000 0.500 0.827
Pr1 0.000 0.000 0.000
Pb7 0.500 0.000 0.827
Pb8 0.500 0.000 0.500
Pb9 0.000 0.500 0.173



## K2CdSn (PBE)

Data for a geometry-optimized K2CdSn structure.

Values from the calculation:
Formation energy from the elements: 0.101 eV/atom

abc: 9.800 9.800 7.632
angles: 50.06 50.06 90.00
Element x y z (fractional)
K1 0.615 0.125 0.250
Cd1 0.250 0.750 0.500
Sn1 0.000 0.000 0.000
K2 0.875 0.865 0.750
K3 0.375 0.385 0.750
K4 0.135 0.625 0.250
Sn2 0.750 0.250 0.500
Cd2 0.500 0.500 0.000



Which of these has the highest formation energy from the elements?
K2CdSn



Please write out number 1 again, unchanged.
## PrPa2Pb9 (PBE)

Data for a geometry-optimized PrPa2Pb9 structure.

Values from the calculation:
Formation energy from the elements: -0.126 eV/atom

abc: 4.849 4.849 14.619
angles: 90.00 90.00 90.00
Element x y z (fractional)
Pa1 0.000 0.000 0.661
Pb1 0.500 0.000 0.173
Pb2 0.000 0.500 0.500
Pa2 0.000 0.000 0.339
Pb3 0.500 0.500 0.336
Pb4 0.500 0.500 0.000
Pb5 0.500 0.500 0.664
Pb6 0.000 0.500 0.827
Pr1 0.000 0.000 0.000
Pb7 0.500 0.000 0.827
Pb8 0.500 0.000 0.500
Pb9 0.000 0.500 0.173